{
  "formula": "TbUPa",
  "functional": "PBE-GGA",
  "state": "optimized geometry",
  "e_above_lowest_polymorph_ev_per_atom": 0.000,
  "formation_enthalpy_0k_ev_per_atom": 1.15,
  "sg": "F-43m",
  "magmom_total_mub_per_cell": 5.946,
  "e_tot_ry_per_atom": -0.53861,
  "cell": [[0.000, 3.532, 3.532], [3.532, 0.000, 3.532], [3.532, 3.532, 0.000]],
  "species": ["U", "Tb", "Pa"],
  "frac_coords": [[0.000, 0.000, 0.000], [0.750, 0.750, 0.750], [0.250, 0.250, 0.250]]
}

{
  "formula": "TbYPa",
  "functional": "PBE-GGA",
  "state": "optimized geometry",
  "e_above_lowest_polymorph_ev_per_atom": 0.000,
  "formation_enthalpy_0k_ev_per_atom": 1.10,
  "sg": "F-43m",
  "magmom_total_mub_per_cell": 2.714,
  "e_tot_ry_per_atom": -0.42370,
  "cell": [[0.000, 3.716, 3.716], [3.716, 0.000, 3.716], [3.716, 3.716, 0.000]],
  "species": ["Tb", "Pa", "Y"],
  "frac_coords": [[0.000, 0.000, 0.000], [0.750, 0.750, 0.750], [0.250, 0.250, 0.250]]
}

{
  "formula": "PaTc",
  "functional": "PBE-GGA",
  "state": "optimized geometry",
  "e_above_lowest_polymorph_ev_per_atom": 0.081,
  "formation_enthalpy_0k_ev_per_atom": -0.20,
  "sg": "P6_3/mmc",
  "magmom_total_mub_per_cell": 0.003,
  "e_tot_ry_per_atom": -0.74406,
  "cell": [[-1.137, 1.434, -3.696], [1.229, -3.916, 0.403], [-5.571, -1.638, 1.079]],
  "species": ["Pa", "Pa", "Tc", "Tc"],
  "frac_coords": [[0.667, 0.333, 0.750], [0.333, 0.667, 0.250], [0.000, 0.000, 0.500], [0.000, 0.000, 0.000]]
}

{
  "formula": "PaTc",
  "functional": "PBE-GGA",
  "state": "optimized geometry",
  "e_above_lowest_polymorph_ev_per_atom": 0.323,
  "formation_enthalpy_0k_ev_per_atom": 0.05,
  "sg": "P6_3/mmc",
  "magmom_total_mub_per_cell": 0.002,
  "e_tot_ry_per_atom": -0.72631,
  "cell": [[-3.091, -0.090, -2.086], [3.286, -0.943, -1.493], [-1.071, -6.705, 1.877]],
  "species": ["Pa", "Pa", "Tc", "Tc"],
  "frac_coords": [[0.000, 0.000, 0.500], [0.000, 0.000, 0.000], [0.333, 0.667, 0.250], [0.667, 0.333, 0.750]]
}

{
  "formula": "PaTc",
  "functional": "PBE-GGA",
  "state": "optimized geometry",
  "e_above_lowest_polymorph_ev_per_atom": 0.412,
  "formation_enthalpy_0k_ev_per_atom": 0.14,
  "sg": "P-6m2",
  "magmom_total_mub_per_cell": 0.003,
  "e_tot_ry_per_atom": -0.71975,
  "cell": [[-0.609, -0.045, 3.131], [-1.866, -1.628, -2.011], [2.658, -3.619, 0.465]],
  "species": ["Pa", "Tc"],
  "frac_coords": [[0.667, 0.333, 0.750], [0.333, 0.667, 0.250]]
}

{
  "formula": "PaTc",
  "functional": "PBE-GGA",
  "state": "optimized geometry",
  "e_above_lowest_polymorph_ev_per_atom": 0.234,
  "formation_enthalpy_0k_ev_per_atom": -0.04,
  "sg": "Fm-3m",
  "magmom_total_mub_per_cell": 0.001,
  "e_tot_ry_per_atom": -0.73282,
  "cell": [[-0.950, -3.504, 1.423], [-3.579, -0.624, 1.417], [-2.495, -2.282, -1.943]],
  "species": ["Tc", "Pa"],
  "frac_coords": [[0.500, 0.500, 0.500], [0.000, 0.000, 0.000]]
}

{
  "formula": "PaTc",
  "functional": "PBE-GGA",
  "state": "optimized geometry",
  "e_above_lowest_polymorph_ev_per_atom": 0.935,
  "formation_enthalpy_0k_ev_per_atom": 0.66,
  "sg": "F-43m",
  "magmom_total_mub_per_cell": 0.000,
  "e_tot_ry_per_atom": -0.68134,
  "cell": [[0.000, 2.963, 2.963], [2.963, 0.000, 2.963], [2.963, 2.963, 0.000]],
  "species": ["Tc", "Pa"],
  "frac_coords": [[0.250, 0.250, 0.250], [0.000, 0.000, 0.000]]
}

{
  "formula": "Pa2Tc",
  "functional": "PBE-GGA",
  "state": "optimized geometry",
  "formation_enthalpy_0k_ev_per_atom": 1.78,
  "sg": "Fd-3m",
  "magmom_total_mub_per_cell": 4.613,
  "e_tot_ry_per_atom": -0.58838,
  "cell": [[-1.349, -4.861, 6.555], [5.976, -1.138, 5.604], [-0.713, 3.327, 7.539]],
  "species": ["Pa", "Pa", "Pa", "Pa", "Tc", "Tc"],
  "frac_coords": [[0.875, 0.375, 0.375], [0.375, 0.875, 0.375], [0.375, 0.375, 0.375], [0.375, 0.375, 0.875], [0.250, 0.250, 0.250], [0.500, 0.500, 0.500]]
}

{
  "formula": "PaTc2",
  "functional": "PBE-GGA",
  "state": "optimized geometry",
  "e_above_lowest_polymorph_ev_per_atom": 2.895,
  "formation_enthalpy_0k_ev_per_atom": 2.69,
  "sg": "Fd-3m",
  "magmom_total_mub_per_cell": 5.480,
  "e_tot_ry_per_atom": -0.54248,
  "cell": [[-5.122, 5.987, 0.502], [-0.960, 3.811, 6.848], [2.640, 7.397, 0.805]],
  "species": ["Pa", "Pa", "Tc", "Tc", "Tc", "Tc"],
  "frac_coords": [[0.250, 0.250, 0.250], [0.500, 0.500, 0.500], [0.375, 0.375, 0.875], [0.875, 0.375, 0.375], [0.375, 0.375, 0.375], [0.375, 0.875, 0.375]]
}

{
  "formula": "PaTc2",
  "functional": "PBE-GGA",
  "state": "optimized geometry",
  "e_above_lowest_polymorph_ev_per_atom": 0.000,
  "formation_enthalpy_0k_ev_per_atom": -0.20,
  "sg": "P6_3/mmc",
  "magmom_total_mub_per_cell": 0.002,
  "e_tot_ry_per_atom": -0.75527,
  "cell": [[-1.267, 4.902, -1.077], [-2.165, -3.877, -2.660], [-7.049, -0.425, 6.358]],
  "species": ["Tc", "Tc", "Tc", "Tc", "Tc", "Tc", "Tc", "Tc", "Pa", "Pa", "Pa", "Pa"],
  "frac_coords": [[0.000, 0.000, 0.000], [0.661, 0.830, 0.750], [0.339, 0.170, 0.250], [0.000, 0.000, 0.500], [0.830, 0.661, 0.250], [0.170, 0.830, 0.750], [0.830, 0.170, 0.250], [0.170, 0.339, 0.750], [0.667, 0.333, 0.562], [0.333, 0.667, 0.438], [0.333, 0.667, 0.062], [0.667, 0.333, 0.938]]
}

{
  "formula": "ThPaTc",
  "functional": "PBE-GGA",
  "state": "optimized geometry",
  "formation_enthalpy_0k_ev_per_atom": 0.60,
  "sg": "F-43m",
  "magmom_total_mub_per_cell": 0.006,
  "e_tot_ry_per_atom": -0.62405,
  "cell": [[-0.115, -4.738, 0.239], [-0.956, -2.145, 4.123], [-4.137, -2.246, 0.603]],
  "species": ["Tc", "Pa", "Th"],
  "frac_coords": [[0.250, 0.250, 0.250], [0.000, 0.000, 0.000], [0.750, 0.750, 0.750]]
}

{
  "formula": "PaTlTc",
  "functional": "PBE-GGA",
  "state": "optimized geometry",
  "sg": "F-43m",
  "magmom_total_mub_per_cell": 0.069,
  "e_tot_ry_per_atom": -0.46833,
  "cell": [[0.000, 3.362, 3.362], [3.362, 0.000, 3.362], [3.362, 3.362, 0.000]],
  "species": ["Tc", "Pa", "Tl"],
  "frac_coords": [[0.750, 0.750, 0.750], [0.250, 0.250, 0.250], [0.000, 0.000, 0.000]]
}